# 1
Density functional theory data (PBE) for a relaxed TbDyAl crystal.

Properties
For the energy above the most stable polymorph in this dataset, the calculation gives 0.137 eV per atom. As for the calculated volume: 26.43 Å³/atom. As for the symmetry: No. 156.

Cell lengths 3.5641, 5.0686, 5.0686 Å; angles 120.00, 90.00, 90.00 degrees
Sites, in units of the cell vectors:
Tb (0.9497, 0.0000, 0.0000)
Al (0.6615, 0.6667, 0.3333)
Dy (0.3888, 0.3333, 0.6667)



# 2
Density functional theory data (PBE) for a relaxed TbDy2Al9 crystal.

Properties
For the energy above the most stable polymorph in this dataset, the calculation gives 0.052 eV per atom. As for the calculated volume: 19.62 Å³/atom. As for the symmetry: No. 166.

Cell lengths 5.5715, 5.5715, 9.3282 Å; angles 72.62, 72.62, 60.00 degrees
Sites, in units of the cell vectors:
Tb (0.0000, 0.0000, 0.0000)
Dy (0.8579, 0.8579, 0.4263)
Dy (0.1421, 0.1421, 0.5737)
Al (0.6646, 0.6646, 0.0062)
Al (0.3354, 0.3354, 0.9938)
Al (0.5000, 0.5000, 0.5000)
Al (0.4128, 0.4128, 0.2506)
Al (0.9239, 0.4128, 0.2506)
Al (0.4128, 0.9239, 0.2506)
Al (0.5872, 0.5872, 0.7494)
Al (0.5872, 0.0761, 0.7494)
Al (0.0761, 0.5872, 0.7494)